{"formula": "TbPm2Dy6Er3", "functional": "PBE-GGA", "state": "relaxed", "lattice_angstrom": [[-5.8070, -1.6399, -1.1892], [2.0565, 0.0316, 5.7961], [-2.1043, 11.5701, -0.3996]], "species": ["Dy", "Dy", "Dy", "Dy", "Dy", "Dy", "Pm", "Pm", "Tb", "Er", "Er", "Er"], "fractional_positions": [[0.9150, 0.5821, 0.7469], [0.2478, 0.2478, 0.7468], [0.4179, 0.0850, 0.2531], [0.5821, 0.9150, 0.7469], [0.7522, 0.7522, 0.2532], [0.0850, 0.4179, 0.2531], [0.6666, 0.3334, 0.0000], [0.3334, 0.6666, 0.0000], [0.0000, 0.0000, 0.0000], [0.5000, 0.5000, 0.5000], [0.8335, 0.1665, 0.5000], [0.1665, 0.8335, 0.5000]], "magmom_total_mub_per_cell": 0.00, "ef_ev_per_atom": 0.018, "total_energy_ev_per_atom": -4.60, "spacegroup": "C2/m, No. 12"}

***

{"formula": "Tb4Pm2Dy2Er", "functional": "PBE-GGA", "state": "relaxed", "lattice_angstrom": [[3.6025, 0.0000, 0.0000], [-1.8013, 9.3304, -0.4913], [0.0000, -3.6896, 8.8314]], "species": ["Tb", "Tb", "Tb", "Tb", "Pm", "Pm", "Er", "Dy", "Dy"], "fractional_positions": [[0.1855, 0.3709, 0.3345], [0.8145, 0.6291, 0.6655], [0.4811, 0.9621, 0.6661], [0.5189, 0.0379, 0.3339], [0.6656, 0.3312, 0.9986], [0.3344, 0.6688, 0.0014], [0.0000, 0.0000, 0.0000], [0.8527, 0.7054, 0.3360], [0.1473, 0.2946, 0.6640]], "magmom_total_mub_per_cell": 0.00, "ef_ev_per_atom": -0.001, "total_energy_ev_per_atom": -4.64, "spacegroup": "C2/m, No. 12"}

***

{"formula": "Tb3PmDyEr", "functional": "PBE-GGA", "state": "relaxed", "lattice_angstrom": [[-3.6951, -1.2020, -3.8387], [-5.7928, -0.7634, 9.7010], [-2.2743, 6.3445, 0.2026]], "species": ["Er", "Er", "Dy", "Dy", "Tb", "Tb", "Tb", "Tb", "Tb", "Tb", "Pm", "Pm"], "fractional_positions": [[0.3334, 0.6667, 0.5308], [0.6666, 0.3333, 0.4692], [0.9288, 0.8577, 0.6706], [0.0712, 0.1423, 0.3294], [0.8326, 0.6652, 0.2770], [0.1674, 0.3348, 0.7230], [0.5253, 0.0506, 0.7282], [0.2255, 0.4511, 0.1886], [0.4747, 0.9494, 0.2718], [0.7745, 0.5489, 0.8114], [0.3680, 0.7360, 0.9727], [0.6320, 0.2640, 0.0273]], "magmom_total_mub_per_cell": 0.00, "ef_ev_per_atom": 0.193, "total_energy_ev_per_atom": -4.44, "spacegroup": "C2/m, No. 12"}